i | VASP calculation (PBEsol) on a geometry-optimized InBrCl2 structure.

a = 3.337 Å, b = 3.337 Å, c = 8.708 Å
α = 90.00°, β = 90.00°, γ = 90.00°
Sites, in units of the cell vectors:
In1 0.000 0.000 0.000
Br1 0.000 0.000 0.500
Cl1 0.500 0.500 0.179
Cl2 0.500 0.500 0.821

## Properties
Fermi-level density of states	2.3	states/eV/f.u.

ii | VASP calculation (PBEsol) on a geometry-optimized InBrCl2 structure.

a = 3.433 Å, b = 3.433 Å, c = 7.806 Å
α = 90.00°, β = 90.00°, γ = 90.00°
Sites, in units of the cell vectors:
In1 0.000 0.000 0.000
Br1 0.500 0.500 0.216
Cl1 0.000 0.000 0.507
Cl2 0.500 0.500 0.806

## Properties
Fermi-level density of states	1.6	states/eV/f.u.

iii | VASP calculation (PBEsol) on a geometry-optimized InBrCl2 structure.

a = 4.906 Å, b = 4.906 Å, c = 4.906 Å
α = 60.00°, β = 60.00°, γ = 60.00°
Sites, in units of the cell vectors:
In1 0.000 0.000 0.000
Br1 0.750 0.750 0.750
Cl1 0.250 0.250 0.250
Cl2 0.500 0.500 0.500

## Properties
Fermi-level density of states	4.0	states/eV/f.u.

Ranked by calculated energy, most stable first: i, iii, ii.

i | VASP calculation (PBEsol) on a geometry-optimized Ir2BrCl structure.

a = 5.221 Å, b = 5.221 Å, c = 5.221 Å
α = 148.47°, β = 119.61°, γ = 69.72°
Sites, in units of the cell vectors:
Ir1 0.246 0.246 0.000
Ir2 0.754 0.754 0.000
Br1 0.500 0.000 0.500
Cl1 0.000 0.500 0.500

## Properties
Fermi-level density of states	3.1	states/eV/f.u.

ii | VASP calculation (PBEsol) on a geometry-optimized Ir2BrCl structure.

a = 4.412 Å, b = 4.412 Å, c = 5.164 Å
α = 100.28°, β = 100.28°, γ = 39.73°
Sites, in units of the cell vectors:
Ir1 0.245 0.245 0.255
Ir2 0.755 0.755 0.745
Br1 0.500 0.500 0.000
Cl1 0.000 0.000 0.500

## Properties
Fermi-level density of states	3.8	states/eV/f.u.

Ranked by calculated energy, most stable first: i, ii.

i | VASP calculation (PBEsol) on a geometry-optimized KBr2Cl structure.

a = 7.684 Å, b = 7.684 Å, c = 7.684 Å
α = 149.08°, β = 149.08°, γ = 44.30°
Sites, in units of the cell vectors:
K1 0.000 0.000 0.000
Br1 0.250 0.750 0.500
Br2 0.750 0.250 0.500
Cl1 0.500 0.500 0.000

## Properties
Fermi-level density of states	5.2	states/eV/f.u.

ii | VASP calculation (PBEsol) on a geometry-optimized KBr2Cl structure.

a = 5.407 Å, b = 5.407 Å, c = 5.407 Å
α = 60.00°, β = 60.00°, γ = 60.00°
Sites, in units of the cell vectors:
K1 0.000 0.000 0.000
Br1 0.250 0.250 0.250
Br2 0.750 0.750 0.750
Cl1 0.500 0.500 0.500

## Properties
Fermi-level density of states	4.1	states/eV/f.u.

Ranked by calculated energy, most stable first: i, ii.

i | VASP calculation (PBEsol) on a geometry-optimized KBr2Cl structure.

a = 4.475 Å, b = 4.475 Å, c = 6.276 Å
α = 90.00°, β = 90.00°, γ = 90.00°
Sites, in units of the cell vectors:
K1 0.000 0.000 0.000
Br1 0.000 0.000 0.494
Br2 0.500 0.500 0.793
Cl1 0.500 0.500 0.159

## Properties
Fermi-level density of states	2.2	states/eV/f.u.

ii | VASP calculation (PBEsol) on a geometry-optimized KBr2Cl structure.

a = 5.530 Å, b = 5.530 Å, c = 6.233 Å
α = 93.80°, β = 93.80°, γ = 50.55°
Sites, in units of the cell vectors:
K1 0.000 0.000 0.000
Br1 0.356 0.356 0.276
Br2 0.525 0.525 0.589
Cl1 0.687 0.687 0.909

## Properties
Fermi-level density of states	0.0	states/eV/f.u.

Ranked by calculated energy, most stable first: ii, i.

i | VASP calculation (PBEsol) on a geometry-optimized K2BrCl structure.

a = 7.874 Å, b = 7.874 Å, c = 7.874 Å
α = 33.24°, β = 33.24°, γ = 33.24°
Sites, in units of the cell vectors:
K1 0.246 0.246 0.246
K2 0.754 0.754 0.754
Br1 0.000 0.000 0.000
Cl1 0.500 0.500 0.500

## Properties
Fermi-level density of states	0.0	states/eV/f.u.

ii | VASP calculation (PBEsol) on a geometry-optimized K2BrCl structure.

a = 5.007 Å, b = 6.370 Å, c = 6.370 Å
α = 36.88°, β = 90.00°, γ = 90.00°
Sites, in units of the cell vectors:
K1 0.000 0.000 0.000
K2 0.500 0.237 0.237
Br1 0.500 0.503 0.503
Cl1 0.000 0.743 0.743

## Properties
Fermi-level density of states	0.0	states/eV/f.u.

iii | VASP calculation (PBEsol) on a geometry-optimized K2BrCl structure.

a = 4.523 Å, b = 4.523 Å, c = 6.397 Å
α = 90.00°, β = 90.00°, γ = 90.00°
Sites, in units of the cell vectors:
K1 0.000 0.000 0.000
K2 0.500 0.500 0.500
Br1 0.000 0.000 0.500
Cl1 0.500 0.500 0.000

## Properties
Fermi-level density of states	0.0	states/eV/f.u.

iv | VASP calculation (PBEsol) on a geometry-optimized K2BrCl structure.

a = 8.175 Å, b = 8.175 Å, c = 8.175 Å
α = 31.31°, β = 31.31°, γ = 31.31°
Sites, in units of the cell vectors:
K1 0.000 0.000 0.000
K2 0.176 0.176 0.176
Br1 0.420 0.420 0.420
Cl1 0.589 0.589 0.589

## Properties
Fermi-level density of states	0.0	states/eV/f.u.

Ranked by calculated energy, most stable first: i, iii, iv, ii.

i | VASP calculation (PBEsol) on a geometry-optimized K2BrCl structure.

a = 5.429 Å, b = 5.429 Å, c = 5.429 Å
α = 60.00°, β = 60.00°, γ = 60.00°
Sites, in units of the cell vectors:
K1 0.250 0.250 0.250
K2 0.750 0.750 0.750
Br1 0.000 0.000 0.000
Cl1 0.500 0.500 0.500

## Properties
Fermi-level density of states	0.0	states/eV/f.u.

ii | VASP calculation (PBEsol) on a geometry-optimized K2BrCl structure.

a = 7.338 Å, b = 7.338 Å, c = 7.338 Å
α = 113.11°, β = 113.11°, γ = 102.42°
Sites, in units of the cell vectors:
K1 0.109 0.625 0.984
K2 0.375 0.359 0.484
K3 0.641 0.125 0.016
K4 0.875 0.891 0.516
Br1 0.250 0.750 0.500
Br2 0.500 0.500 0.000
Cl1 0.000 0.000 0.000
Cl2 0.750 0.250 0.500

## Properties
Fermi-level density of states	0.0	states/eV/f.u.

Ranked by calculated energy, most stable first: i, ii.

i | VASP calculation (PBEsol) on a geometry-optimized LaBrCl2 structure.

a = 5.524 Å, b = 4.312 Å, c = 7.157 Å
α = 90.00°, β = 112.62°, γ = 90.00°
Sites, in units of the cell vectors:
La1 0.000 0.000 0.000
Br1 0.850 0.500 0.700
Cl1 0.131 0.500 0.263
Cl2 0.503 0.000 0.006

## Properties
Fermi-level density of states	0.0	states/eV/f.u.

ii | VASP calculation (PBEsol) on a geometry-optimized LaBrCl2 structure.

a = 6.792 Å, b = 6.792 Å, c = 4.236 Å
α = 90.00°, β = 90.00°, γ = 129.15°
Sites, in units of the cell vectors:
La1 0.000 0.000 0.000
Br1 0.500 0.500 0.000
Cl1 0.145 0.855 0.500
Cl2 0.855 0.145 0.500

## Properties
Fermi-level density of states	0.0	states/eV/f.u.

iii | VASP calculation (PBEsol) on a geometry-optimized LaBrCl2 structure.

a = 5.834 Å, b = 5.834 Å, c = 6.368 Å
α = 118.72°, β = 118.72°, γ = 40.14°
Sites, in units of the cell vectors:
La1 0.000 0.000 0.000
Br1 0.291 0.291 0.996
Cl1 0.478 0.478 0.684
Cl2 0.662 0.662 0.335

## Properties
Fermi-level density of states	0.0	states/eV/f.u.

iv | VASP calculation (PBEsol) on a geometry-optimized LaBrCl2 structure.

a = 6.510 Å, b = 6.510 Å, c = 6.510 Å
α = 145.72°, β = 131.51°, γ = 60.72°
Sites, in units of the cell vectors:
La1 0.000 0.000 0.000
Br1 0.500 0.500 0.000
Cl1 0.179 0.679 0.500
Cl2 0.821 0.321 0.500

## Properties
Fermi-level density of states	0.0	states/eV/f.u.

Ranked by calculated energy, most stable first: iii, i, ii, iv.

i | VASP calculation (PBEsol) on a geometry-optimized LaBr2Cl structure.

a = 7.418 Å, b = 7.418 Å, c = 4.376 Å
α = 90.00°, β = 90.00°, γ = 136.32°
Sites, in units of the cell vectors:
La1 0.000 0.000 0.000
Br1 0.141 0.859 0.500
Br2 0.859 0.141 0.500
Cl1 0.500 0.500 0.000

## Properties
Fermi-level density of states	0.0	states/eV/f.u.

ii | VASP calculation (PBEsol) on a geometry-optimized LaBr2Cl structure.

a = 4.315 Å, b = 7.037 Å, c = 7.037 Å
α = 48.79°, β = 90.00°, γ = 90.00°
Sites, in units of the cell vectors:
La1 0.000 0.000 0.000
Br1 0.000 0.502 0.502
Br2 0.500 0.846 0.846
Cl1 0.500 0.135 0.135

## Properties
Fermi-level density of states	0.0	states/eV/f.u.

iii | VASP calculation (PBEsol) on a geometry-optimized LaBr2Cl structure.

a = 5.444 Å, b = 5.444 Å, c = 7.348 Å
α = 111.86°, β = 111.86°, γ = 43.61°
Sites, in units of the cell vectors:
La1 0.000 0.000 0.000
Br1 0.492 0.492 0.706
Br2 0.663 0.663 0.295
Cl1 0.296 0.296 0.001

## Properties
Fermi-level density of states	0.0	states/eV/f.u.

Ranked by calculated energy, most stable first: iii, i, ii.

i | VASP calculation (PBEsol) on a geometry-optimized LaPBrCl2 structure.

a = 4.949 Å, b = 4.949 Å, c = 5.206 Å
α = 90.00°, β = 90.00°, γ = 90.00°
Sites, in units of the cell vectors:
La1 0.000 0.000 0.000
P1 0.500 0.500 0.000
Br1 0.500 0.500 0.500
Cl1 0.000 0.500 0.500
Cl2 0.500 0.000 0.500

## Properties
Fermi-level density of states	4.2	states/eV/f.u.

ii | VASP calculation (PBEsol) on a geometry-optimized LaPBrCl2 structure.

a = 5.318 Å, b = 5.318 Å, c = 6.148 Å
α = 90.00°, β = 90.00°, γ = 90.00°
Sites, in units of the cell vectors:
La1 0.000 0.000 0.000
P1 0.000 0.000 0.500
Br1 0.500 0.500 0.500
Cl1 0.000 0.500 0.000
Cl2 0.500 0.000 0.000

## Properties
Fermi-level density of states	2.3	states/eV/f.u.

Ranked by calculated energy, most stable first: ii, i.

i | VASP calculation (PBEsol) on a geometry-optimized LiBr2Cl structure.

a = 3.901 Å, b = 3.901 Å, c = 6.985 Å
α = 90.00°, β = 90.00°, γ = 113.83°
Sites, in units of the cell vectors:
Li1 0.000 0.000 0.000
Br1 0.500 0.500 0.190
Br2 0.500 0.500 0.810
Cl1 0.000 0.000 0.500

## Properties
Fermi-level density of states	1.2	states/eV/f.u.

ii | VASP calculation (PBEsol) on a geometry-optimized LiBr2Cl structure.

a = 7.743 Å, b = 7.743 Å, c = 7.743 Å
α = 151.18°, β = 151.18°, γ = 41.21°
Sites, in units of the cell vectors:
Li1 0.000 0.000 0.000
Br1 0.250 0.750 0.500
Br2 0.750 0.250 0.500
Cl1 0.500 0.500 0.000

## Properties
Fermi-level density of states	1.0	states/eV/f.u.

Ranked by calculated energy, most stable first: ii, i.

i | VASP calculation (PBEsol) on a geometry-optimized Mn2BrCl structure.

a = 5.738 Å, b = 5.738 Å, c = 5.738 Å
α = 147.97°, β = 110.17°, γ = 78.90°
Sites, in units of the cell vectors:
Mn1 0.000 0.000 0.000
Mn2 0.761 0.261 0.500
Br1 0.213 0.713 0.500
Cl1 0.568 0.568 0.000

## Properties
Fermi-level density of states	1.8	states/eV/f.u.

ii | VASP calculation (PBEsol) on a geometry-optimized Mn2BrCl structure.

a = 4.538 Å, b = 4.538 Å, c = 4.538 Å
α = 60.00°, β = 60.00°, γ = 60.00°
Sites, in units of the cell vectors:
Mn1 0.250 0.250 0.250
Mn2 0.750 0.750 0.750
Br1 0.000 0.000 0.000
Cl1 0.500 0.500 0.500

## Properties
Fermi-level density of states	1.0	states/eV/f.u.

iii | VASP calculation (PBEsol) on a geometry-optimized Mn2BrCl structure.

a = 5.142 Å, b = 5.142 Å, c = 3.343 Å
α = 107.97°, β = 107.97°, γ = 102.13°
Sites, in units of the cell vectors:
Mn1 0.000 0.500 0.000
Mn2 0.500 0.000 0.000
Br1 0.000 0.000 0.000
Cl1 0.500 0.500 0.000

## Properties
Fermi-level density of states	1.5	states/eV/f.u.

Ranked by calculated energy, most stable first: i, iii, ii.